# 1
# PaHRu (PBE, optimized geometry)
# ΔE to the lowest computed polymorph = 0 meV/atom
data_PaHRu
_space_group_name_H-M_alt 'C 1 2/m 1'
_space_group_IT_number 12
_space_group_name_Hall '-C 2y'
_cell_length_a 11.8989
_cell_length_b 3.8573
_cell_length_c 3.9253
_cell_angle_alpha 90.00
_cell_angle_beta 93.05
_cell_angle_gamma 90.00
loop_
_atom_site_label
_atom_site_type_symbol
_atom_site_fract_x
_atom_site_fract_y
_atom_site_fract_z
Pa1 Pa 0.1299 0.0000 0.2703
H1 H 0.2093 0.5000 0.0499
Ru1 Ru 0.0946 0.5000 0.7420

=====

# 2
# Cd5Cu3 (PBE, optimized geometry)
# ΔH_f (0 K) = 0.42 eV/f.u.
# ΔE to the lowest computed polymorph = 0 meV/atom
data_Cd5Cu3
_space_group_name_H-M_alt 'P 4/m m m'
_space_group_IT_number 123
_space_group_name_Hall '-P 4 2'
_cell_length_a 3.1850
_cell_length_b 3.1850
_cell_length_c 13.9910
_cell_angle_alpha 90.00
_cell_angle_beta 90.00
_cell_angle_gamma 90.00
loop_
_atom_site_label
_atom_site_type_symbol
_atom_site_fract_x
_atom_site_fract_y
_atom_site_fract_z
Cd1 Cd 0.0000 0.0000 0.0000
Cd2 Cd 0.0000 0.0000 0.2308
Cd3 Cd 0.5000 0.5000 0.3841
Cu1 Cu 0.0000 0.0000 0.5000
Cu2 Cu 0.5000 0.5000 0.1144

=====

# 3
# TcAs2Os (PBE, optimized geometry)
# ΔH_f (0 K) = 2.14 eV/f.u.
# ΔE to the lowest computed polymorph = 507 meV/atom
data_TcAs2Os
_space_group_name_H-M_alt 'P m m m'
_space_group_IT_number 47
_space_group_name_Hall '-P 2 2'
_cell_length_a 2.9931
_cell_length_b 4.0390
_cell_length_c 5.2560
_cell_angle_alpha 90.00
_cell_angle_beta 90.00
_cell_angle_gamma 90.00
loop_
_atom_site_label
_atom_site_type_symbol
_atom_site_fract_x
_atom_site_fract_y
_atom_site_fract_z
Tc1 Tc 0.0000 0.0000 0.0000
As1 As 0.0000 0.5000 0.5000
As2 As 0.5000 0.5000 0.0000
Os1 Os 0.5000 0.0000 0.5000

=====

# 4
# Rb2Cu2AgF6 (PBE, optimized geometry)
# raw formation energy = -1.753 eV per atom
data_Rb2Cu2AgF6
_space_group_name_H-M_alt 'C 1 2/m 1'
_space_group_IT_number 12
_space_group_name_Hall '-C 2y'
_cell_length_a 11.3918
_cell_length_b 6.2120
_cell_length_c 6.4377
_cell_angle_alpha 90.00
_cell_angle_beta 116.25
_cell_angle_gamma 90.00
loop_
_atom_site_label
_atom_site_type_symbol
_atom_site_fract_x
_atom_site_fract_y
_atom_site_fract_z
Rb1 Rb 0.2177 0.0000 0.1754
Cu1 Cu 0.0599 0.5000 0.2308
Ag1 Ag 0.0000 0.0000 0.5000
F1 F 0.0566 0.2640 0.7995
F2 F 0.2421 0.5000 0.3414

=====

# 5
# Nd2ZnSnPt6 (PBE, optimized geometry)
# ΔH_f (0 K) = -7.27 eV/f.u.
data_Nd2ZnSnPt6
_space_group_name_H-M_alt 'R -3 m'
_space_group_IT_number 166
_space_group_name_Hall '-R 3 2"'
_cell_length_a 5.6182
_cell_length_b 5.6182
_cell_length_c 24.8854
_cell_angle_alpha 90.00
_cell_angle_beta 90.00
_cell_angle_gamma 120.00
loop_
_atom_site_label
_atom_site_type_symbol
_atom_site_fract_x
_atom_site_fract_y
_atom_site_fract_z
Nd1 Nd 0.0000 0.0000 0.2016
Zn1 Zn 0.0000 0.0000 0.5000
Sn1 Sn 0.0000 0.0000 0.0000
Pt1 Pt 0.0027 0.5014 0.2465

=====

# 6
# AuCl2 (PBE, optimized geometry)
# raw formation energy = 0.132 eV per atom
data_AuCl2
_space_group_name_H-M_alt 'P 63/m m c'
_space_group_IT_number 194
_space_group_name_Hall '-P 6c 2c'
_cell_length_a 6.7153
_cell_length_b 6.7153
_cell_length_c 4.6360
_cell_angle_alpha 90.00
_cell_angle_beta 90.00
_cell_angle_gamma 120.00
loop_
_atom_site_label
_atom_site_type_symbol
_atom_site_fract_x
_atom_site_fract_y
_atom_site_fract_z
Au1 Au 0.3333 0.6667 0.2500
Cl1 Cl 0.0000 0.0000 0.0000
Cl2 Cl 0.3333 0.6667 0.7500

=====

# 7
# Y3ScBi4 (PBE, optimized geometry)
# ΔH_f (0 K) = -6.63 eV/f.u.
data_Y3ScBi4
_space_group_name_H-M_alt 'P 1 2/c 1'
_space_group_IT_number 13
_space_group_name_Hall '-P 2yc'
_cell_length_a 7.6732
_cell_length_b 8.8776
_cell_length_c 7.6735
_cell_angle_alpha 90.00
_cell_angle_beta 109.49
_cell_angle_gamma 90.00
loop_
_atom_site_label
_atom_site_type_symbol
_atom_site_fract_x
_atom_site_fract_y
_atom_site_fract_z
Y1 Y 0.0000 0.1245 0.2500
Y2 Y 0.0000 0.3739 0.7500
Y3 Y 0.5000 0.3743 0.2500
Sc1 Sc 0.5000 0.1247 0.7500
Bi1 Bi 0.2546 0.3699 0.5051
Bi2 Bi 0.2605 0.1194 0.9997

=====

# 8
# Mg2AlPF (PBE, optimized geometry)
# raw formation energy = -0.262 eV per atom
data_Mg2AlPF
_space_group_name_H-M_alt 'P 4/m m m'
_space_group_IT_number 123
_space_group_name_Hall '-P 4 2'
_cell_length_a 5.1346
_cell_length_b 5.1346
_cell_length_c 3.8806
_cell_angle_alpha 90.00
_cell_angle_beta 90.00
_cell_angle_gamma 90.00
loop_
_atom_site_label
_atom_site_type_symbol
_atom_site_fract_x
_atom_site_fract_y
_atom_site_fract_z
Mg1 Mg 0.0000 0.5000 0.0000
Al1 Al 0.0000 0.0000 0.5000
P1 P 0.5000 0.5000 0.0000
F1 F 0.5000 0.5000 0.5000

=====

Number 1: N(E_F) 7.0 states/eV per cell, total moment 0.00 Bohr magnetons per cell. Number 2: N(E_F) 1.9 states/eV per cell, total moment 0.00 Bohr magnetons per cell. Number 3: N(E_F) 3.5 states/eV per cell, total moment 0.00 Bohr magnetons per cell. Number 4: N(E_F) 12.5 states/eV per cell, total moment 2.02 Bohr magnetons per cell. Number 5: N(E_F) 11.1 states/eV per cell, total moment 0.00 Bohr magnetons per cell. Number 6: N(E_F) 6.8 states/eV per cell, total moment 0.00 Bohr magnetons per cell. Number 7: N(E_F) 2.2 states/eV per cell, total moment 0.00 Bohr magnetons per cell. Number 8: N(E_F) 2.5 states/eV per cell, total moment 0.00 Bohr magnetons per cell.